DFT (PBE) results for a geometry-optimized CdCuAsSe2 structure.

size of the total moment: 0.66 μB/cell
crystal system: tetragonal
raw formation energy: 5.03 eV/f.u.

Cell lengths 5.2629, 5.2629, 5.0997 Å; angles 90.00, 90.00, 90.00 degrees
Closest atoms and distances in Å follow each position.
Fractional positions:
As  0.0000  0.0000  0.5000  2 Cd 2.55
Cu  0.5000  0.5000  0.5000  8 Se 3.66, 4 As 3.72
Se  0.0000  0.5000  0.0000  2 Cd 2.63
Se  0.5000  0.0000  0.0000  2 Cd 2.63
Cd  0.0000  0.0000  0.0000  2 As 2.55, 4 Se 2.63



DFT (PBE) results for a geometry-optimized CdCu2SnAs structure.

size of the total moment: 0.00 μB/cell
crystal system: tetragonal
formation enthalpy at 0 K: 66.33 kJ per mole of atoms

Cell lengths 4.8093, 5.5986, 4.8093 Å; angles 90.00, 90.00, 90.00 degrees
Closest atoms and distances in Å follow each position.
Fractional positions:
As  0.0000  0.5000  0.0000  2 Sn 2.80
Sn  0.0000  0.0000  0.0000  4 Cu 2.40
Cu  0.0000  0.0000  0.5000  2 Sn 2.40
Cu  0.5000  0.0000  0.0000  2 Sn 2.40
Cd  0.5000  0.5000  0.5000  4 As 3.40, 8 Cu 3.69